Density functional theory data (GGA-PBEsol) for ScNi6W after structural relaxation.

The value obtained for the calculated formation energy is -232.2 meV/atom.

It has space group Cmmm (No. 65), with a = 7.2436 Å, b = 10.2380 Å, c = 10.2320 Å, α = 90.00°, β = 90.00° and γ = 90.00°. The inequivalent atoms are Sc at (0.0000, 0.0000, 0.2496), Sc at (0.0000, 0.2488, 0.0000), Ni at (0.0000, 0.0000, 0.0000), Ni at (0.0000, 0.0000, 0.5000), Ni at (0.0000, 0.2537, 0.2570), Ni at (0.0000, 0.5000, 0.0000), Ni at (0.0000, 0.5000, 0.5000), Ni at (0.2430, 0.3726, 0.3786), Ni at (0.2447, 0.3760, 0.1289), W at (0.0000, 0.2458, 0.5000) and W at (0.0000, 0.5000, 0.2466).